# CsPaTc2O8

A geometry-optimized CsPaTc2O8 structure (PBE-GGA, Alexandria).

Summary:
**Fermi-level density of states**: 0.08 states/eV per atom
**Formation energy (no corrections)**: -2008 meV/atom
**DFT total energy**: -94.84 eV for the cell shown
**Symmetry**: No. 147
**Calculated density**: 4.25 g/cm³

Cell: 6.011 6.011 8.591 Å, 90.00 90.00 120.00°
Last column: magnetic moment on the atom in μB.
Fractional positions:
O (0.665, 0.827, 0.652)  0.08
Cs (0.000, 0.000, 0.000)  0.00
O (0.173, 0.838, 0.652)  0.08
O (0.162, 0.335, 0.652)  0.08
Tc (0.333, 0.667, 0.736)  1.27
O (0.838, 0.665, 0.348)  0.08
O (0.667, 0.333, 0.061)  0.10
Tc (0.667, 0.333, 0.264)  1.27
O (0.333, 0.667, 0.939)  0.10
O (0.827, 0.162, 0.348)  0.08
Pa (0.000, 0.000, 0.500)  0.41
O (0.335, 0.173, 0.348)  0.08


# Cs2Pa3TcO12

A geometry-optimized Cs2Pa3TcO12 structure (PBE-GGA, Alexandria).

Summary:
**Formation energy (no corrections)**: -2732 meV/atom
**DFT total energy**: -149.24 eV for the cell shown
**Symmetry**: No. 166
**Calculated density**: 5.83 g/cm³

Cell: 7.875 7.875 7.875 Å, 61.32 61.32 61.32°
Fractional positions:
Cs (0.380, 0.380, 0.380)
O (0.055, 0.720, 0.055)
O (0.320, 0.937, 0.320)
Pa (0.000, 0.500, 0.000)
O (0.063, 0.680, 0.680)
O (0.320, 0.320, 0.937)
O (0.945, 0.280, 0.945)
O (0.055, 0.055, 0.720)
O (0.720, 0.055, 0.055)
O (0.937, 0.320, 0.320)
O (0.945, 0.945, 0.280)
Tc (0.000, 0.000, 0.000)
Pa (0.500, 0.000, 0.000)
O (0.680, 0.063, 0.680)
O (0.680, 0.680, 0.063)
Cs (0.620, 0.620, 0.620)
Pa (0.000, 0.000, 0.500)
O (0.280, 0.945, 0.945)


# Cs2PaTcO6

A geometry-optimized Cs2PaTcO6 structure (PBE-GGA, Alexandria).

Summary:
**Formation energy (no corrections)**: -2163 meV/atom
**DFT total energy**: -72.95 eV for the cell shown
**Symmetry**: No. 139
**Calculated density**: 5.34 g/cm³

Cell: 5.942 5.943 7.393 Å, 66.29 66.30 90.00°
Fractional positions:
Pa (0.000, 0.000, 0.000)
O (0.720, 0.720, 0.000)
O (0.280, 0.280, 0.000)
O (0.280, 0.720, 0.000)
O (0.840, 0.840, 0.321)
Cs (0.250, 0.750, 0.500)
O (0.160, 0.160, 0.679)
Cs (0.750, 0.250, 0.500)
Tc (0.500, 0.500, 0.000)
O (0.720, 0.280, 0.000)